The following is a DFT calculation (PBE) of crystalline Ac2Ga4RhAu3 at its relaxed geometry.

Output
DFT formation energy: -689 meV per atom
calculated total energy: -4.4399 eV/atom
calculated volume: 217.2 Å³ per cell
ρ: 10.9 Mg/m³

```
data_Ac2Ga4RhAu3
_chemical_formula_sum 'Ac2 Ga4 Rh1 Au3'
_cell_length_a 4.517
_cell_length_b 4.517
_cell_length_c 10.648
_cell_angle_alpha 90.00
_cell_angle_beta 90.00
_cell_angle_gamma 90.00
_space_group_name_H-M_alt 'P -4 m 2'
_space_group_IT_number 115
loop_
_space_group_symop_operation_xyz
'x,y,z'
'y,-x,-z'
'-x,-y,z'
'-y,x,-z'
'-x,y,z'
'-y,-x,-z'
'x,-y,z'
'y,x,-z'
loop_
_atom_site_label
_atom_site_fract_x
_atom_site_fract_y
_atom_site_fract_z
_atom_site_occupancy
Ac1 0.000 0.500 0.246 1
Ga1 0.000 0.000 0.500 1
Ga2 0.000 0.500 0.881 1
Ga3 0.500 0.500 0.500 1
Rh1 0.500 0.500 0.000 1
Au1 0.000 0.000 0.000 1
Au2 0.000 0.500 0.636 1
```